Below is a geometry-optimized Pu2HgN structure, with properties calculated at the PBE level.

* uncorrected energy: -9.928 eV per atom
* formation energy from raw total energies: -0.606 eV per atom
* energy above the lowest structure with this stoichiometry: 0.8 kJ/mol of atoms

```
data_Pu2HgN
_cell_length_a 3.4622
_cell_length_b 3.4622
_cell_length_c 24.9997
_cell_angle_alpha 90.00
_cell_angle_beta 90.00
_cell_angle_gamma 120.00
_space_group_name_H-M_alt 'P 1'
_space_group_IT_number 1
loop_
_space_group_symop_operation_xyz
'x,y,z'
loop_
_atom_site_label
_atom_site_type_symbol
_atom_site_fract_x
_atom_site_fract_y
_atom_site_fract_z
Pu1 Pu 0.0000 0.0000 0.2231
Pu2 Pu 0.0000 0.0000 0.7769
Pu3 Pu 0.3333 0.6667 0.4435
Pu4 Pu 0.3333 0.6667 0.8898
Pu5 Pu 0.6667 0.3333 0.1102
Pu6 Pu 0.6667 0.3333 0.5565
Hg1 Hg 0.0000 0.0000 0.0000
Hg2 Hg 0.3333 0.6667 0.6667
Hg3 Hg 0.6667 0.3333 0.3333
N1 N 0.0000 0.0000 0.5000
N2 N 0.3333 0.6667 0.1667
N3 N 0.6667 0.3333 0.8333
```